No. 1
A plane-wave DFT calculation with PBE was carried out for a geometry-optimized TaCd2Hg structure.

a = 5.3897 Å, b = 5.3897 Å, c = 5.3897 Å
α = 133.14°, β = 133.14°, γ = 68.44°
Fractional coordinates of all 4 atoms:
Ta: 0.0000 0.0000 0.0000
Cd: 0.2500 0.7500 0.5000
Cd: 0.5000 0.5000 0.0000
Hg: 0.7500 0.2500 0.5000

## Properties
**Total magnetization**: 0.53 μB/f.u.
**DOS at the Fermi energy**: 3.5 states/eV/cell
**Calculated volume**: 82 Å³/cell
**Energy of formation**: 0.52 eV per atom

---

No. 2
A plane-wave DFT calculation with PBE was carried out for a geometry-optimized TaCd2Hg structure.

a = 5.5478 Å, b = 5.5478 Å, c = 5.5478 Å
α = 135.46°, β = 135.46°, γ = 64.81°
Fractional coordinates of all 4 atoms:
Ta: 0.0000 0.0000 0.0000
Cd: 0.2500 0.7500 0.5000
Cd: 0.7500 0.2500 0.5000
Hg: 0.5000 0.5000 0.0000

## Properties
**Total magnetization**: 0.71 μB/f.u.
**DOS at the Fermi energy**: 4.0 states/eV/cell
**Calculated volume**: 83 Å³/cell
**Energy of formation**: 0.52 eV per atom

---

Please write out number 1 again, unchanged.
A plane-wave DFT calculation with PBE was carried out for a geometry-optimized TaCd2Hg structure.

a = 5.3897 Å, b = 5.3897 Å, c = 5.3897 Å
α = 133.14°, β = 133.14°, γ = 68.44°
Fractional coordinates of all 4 atoms:
Ta: 0.0000 0.0000 0.0000
Cd: 0.2500 0.7500 0.5000
Cd: 0.5000 0.5000 0.0000
Hg: 0.7500 0.2500 0.5000

## Properties
**Total magnetization**: 0.53 μB/f.u.
**DOS at the Fermi energy**: 3.5 states/eV/cell
**Calculated volume**: 82 Å³/cell
**Energy of formation**: 0.52 eV per atom

---

Which formula does entry 2 have? TaCd2Hg

---

Among the records above, which one has the highest total magnetization? number 2